No. 1
The following is a GGA-PBE calculation of Ca2TiGeP after structural relaxation, from Alexandria.

Unit cell a=5.3134 b=5.3134 c=4.7000 alpha=90.00 beta=90.00 gamma=90.00
Last column: nearest neighbours and their distance in Å.
Fractional coordinates of all 5 atoms:
Ca 0.0000 0.5000 0.0000  2 P 2.66
Ca 0.5000 0.0000 0.0000  2 P 2.66
Ti 0.0000 0.0000 0.5000  2 P 2.35
Ge 0.5000 0.5000 0.5000  8 Ca 3.55, 4 Ti 3.76
P 0.0000 0.0000 0.0000  2 Ti 2.35

Crystal system = tetragonal
Magnetization = 1.011 μB per formula unit
Symmetry = P4/mmm
Energy above the most stable polymorph in this dataset = 0.0 kJ/mol of formula units
Total energy = -4.728 eV per atom

---

No. 2
The following is a GGA-PBE calculation of CaTl2GeP after structural relaxation, from Alexandria.

Unit cell a=5.2990 b=5.2990 c=5.3935 alpha=90.00 beta=90.00 gamma=90.00
Last column: nearest neighbours and their distance in Å.
Fractional coordinates of all 5 atoms:
Ca 0.0000 0.0000 0.0000  2 P 2.70
Tl 0.0000 0.5000 0.5000  2 P 2.65
Tl 0.5000 0.0000 0.5000  2 P 2.65
Ge 0.5000 0.5000 0.0000  4 Ca 3.75, 8 Tl 3.78
P 0.0000 0.0000 0.5000  4 Tl 2.65, 2 Ca 2.70

Crystal system = tetragonal
Magnetization = 0.000 μB per formula unit
Symmetry = P4/mmm
Total energy = -3.174 eV per atom

---

No. 3
The following is a GGA-PBE calculation of CaPaGe after structural relaxation, from Alexandria.

Unit cell a=12.2409 b=12.2409 c=12.2409 alpha=162.42 beta=162.42 gamma=24.96
Last column: nearest neighbours and their distance in Å.
Fractional coordinates of all 6 atoms:
Ca 0.0784 0.0784 0.0000  4 Ge 3.20, 1 Pa 3.46
Ca 0.9216 0.9216 0.0000  4 Ge 3.20, 1 Pa 3.46
Pa 0.2234 0.2234 0.0000  4 Pa 2.94, 5 Ge 2.94-3.13
Pa 0.7766 0.7766 0.0000  4 Pa 2.94, 5 Ge 2.94-3.13
Ge 0.3463 0.3463 0.0000  5 Pa 2.94-3.13, 4 Ca 3.20
Ge 0.6537 0.6537 0.0000  5 Pa 2.94-3.13, 4 Ca 3.20

Crystal system = tetragonal
Magnetization = 0.000 μB per formula unit
Symmetry = I4/mmm
Total energy = -5.610 eV per atom

---

Number 3 is which compound? CaPaGe

---

Copy entry 1 word for word.
The following is a GGA-PBE calculation of Ca2TiGeP after structural relaxation, from Alexandria.

Unit cell a=5.3134 b=5.3134 c=4.7000 alpha=90.00 beta=90.00 gamma=90.00
Last column: nearest neighbours and their distance in Å.
Fractional coordinates of all 5 atoms:
Ca 0.0000 0.5000 0.0000  2 P 2.66
Ca 0.5000 0.0000 0.0000  2 P 2.66
Ti 0.0000 0.0000 0.5000  2 P 2.35
Ge 0.5000 0.5000 0.5000  8 Ca 3.55, 4 Ti 3.76
P 0.0000 0.0000 0.0000  2 Ti 2.35

Crystal system = tetragonal
Magnetization = 1.011 μB per formula unit
Symmetry = P4/mmm
Energy above the most stable polymorph in this dataset = 0.0 kJ/mol of formula units
Total energy = -4.728 eV per atom